Density functional theory data (PBE-GGA) for a geometry-optimized GeBiRh structure.

Cell lengths 3.527, 3.527, 11.975 Å; angles 90.00, 90.00, 120.00 degrees
Fractional coordinates of all 6 atoms:
Ge1 0.000 0.000 0.125
Ge2 0.000 0.000 0.875
Bi1 0.667 0.333 0.341
Bi2 0.667 0.333 0.659
Rh1 0.333 0.667 0.000
Rh2 0.333 0.667 0.500

Calculated values
The value obtained for the density of states at the Fermi level is 0.514 states/eV/atom. The volume is 129.04 Å³ per cell. The value obtained for the relative energy among the computed polymorphs is 53 meV/atom.

***

Density functional theory data (PBE-GGA) for a geometry-optimized GeBi3Rh4 structure.

Cell lengths 6.324, 6.324, 6.324 Å; angles 125.14, 79.74, 127.05 degrees
Fractional coordinates of all 8 atoms:
Ge1 0.000 0.000 0.000
Bi1 0.207 0.707 0.500
Bi2 0.235 0.436 0.799
Bi3 0.637 0.436 0.201
Rh1 0.197 0.945 0.252
Rh2 0.665 0.400 0.735
Rh3 0.665 0.930 0.265
Rh4 0.693 0.945 0.748

Calculated values
The value obtained for the density of states at the Fermi level is 1.015 states/eV/atom. The volume is 159.47 Å³ per cell. The calculation puts the total energy at -45.7 eV per cell.

***

Density functional theory data (PBE-GGA) for a geometry-optimized GeBi2Rh2 structure.

Cell lengths 6.470, 6.470, 5.019 Å; angles 90.00, 90.00, 90.00 degrees
Fractional coordinates of all 10 atoms:
Ge1 0.000 0.000 0.000
Ge2 0.500 0.500 0.000
Bi1 0.179 0.321 0.500
Bi2 0.321 0.821 0.500
Bi3 0.679 0.179 0.500
Bi4 0.821 0.679 0.500
Rh1 0.151 0.651 0.000
Rh2 0.349 0.151 0.000
Rh3 0.651 0.849 0.000
Rh4 0.849 0.349 0.000

Calculated values
The value obtained for the density of states at the Fermi level is 0.407 states/eV/atom. The volume is 210.08 Å³ per cell. The calculation puts the total energy at -54.6 eV per cell.

***

Density functional theory data (PBE-GGA) for a geometry-optimized GeBiRh2 structure.

Cell lengths 6.174, 6.174, 6.174 Å; angles 37.02, 37.02, 37.02 degrees
Fractional coordinates of all 4 atoms:
Ge1 0.000 0.000 0.000
Bi1 0.173 0.173 0.173
Rh1 0.397 0.397 0.397
Rh2 0.614 0.614 0.614

Calculated values
The value obtained for the density of states at the Fermi level is 0.568 states/eV/atom. The volume is 76.47 Å³ per cell. The value obtained for the relative energy among the computed polymorphs is 149 meV/atom.

***

Density functional theory data (PBE-GGA) for a geometry-optimized GeBiRh2 structure.

Cell lengths 4.621, 4.621, 4.621 Å; angles 60.00, 60.00, 60.00 degrees
Fractional coordinates of all 4 atoms:
Ge1 0.000 0.000 0.000
Bi1 0.500 0.500 0.500
Rh1 0.250 0.250 0.250
Rh2 0.750 0.750 0.750

Calculated values
The value obtained for the density of states at the Fermi level is 1.189 states/eV/atom. The volume is 69.77 Å³ per cell. The value obtained for the relative energy among the computed polymorphs is 380 meV/atom.

***

Density functional theory data (PBE-GGA) for a geometry-optimized GeBi2Rh3 structure.

Cell lengths 6.822, 6.822, 5.793 Å; angles 90.00, 90.00, 59.97 degrees
Fractional coordinates of all 12 atoms:
Ge1 0.199 0.801 0.500
Ge2 0.801 0.199 0.000
Bi1 0.158 0.495 0.099
Bi2 0.495 0.158 0.599
Bi3 0.505 0.842 0.099
Bi4 0.842 0.505 0.599
Rh1 0.087 0.165 0.286
Rh2 0.165 0.087 0.786
Rh3 0.457 0.543 0.812
Rh4 0.543 0.457 0.312
Rh5 0.835 0.913 0.286
Rh6 0.913 0.835 0.786

Calculated values
The value obtained for the density of states at the Fermi level is 0.626 states/eV/atom. The volume is 233.42 Å³ per cell. The calculation puts the total energy at -72.5 eV per cell.

***

Density functional theory data (PBE-GGA) for a geometry-optimized GeBiRh2 structure.

Cell lengths 5.790, 15.020, 6.770 Å; angles 90.00, 90.00, 90.00 degrees
Fractional coordinates of all 32 atoms:
Ge1 0.197 0.055 0.050
Ge2 0.197 0.445 0.550
Ge3 0.303 0.555 0.050
Ge4 0.303 0.945 0.550
Ge5 0.697 0.055 0.450
Ge6 0.697 0.445 0.950
Ge7 0.803 0.555 0.450
Ge8 0.803 0.945 0.950
Bi1 0.209 0.688 0.587
Bi2 0.209 0.812 0.087
Bi3 0.291 0.188 0.587
Bi4 0.291 0.312 0.087
Bi5 0.709 0.688 0.913
Bi6 0.709 0.812 0.413
Bi7 0.791 0.188 0.913
Bi8 0.791 0.312 0.413
Rh1 0.010 0.046 0.708
Rh2 0.010 0.454 0.208
Rh3 0.017 0.654 0.212
Rh4 0.017 0.846 0.712
Rh5 0.483 0.154 0.212
Rh6 0.483 0.346 0.712
Rh7 0.490 0.546 0.708
Rh8 0.490 0.954 0.208
Rh9 0.510 0.046 0.792
Rh10 0.510 0.454 0.292
Rh11 0.517 0.654 0.288
Rh12 0.517 0.846 0.788
Rh13 0.983 0.154 0.288
Rh14 0.983 0.346 0.788
Rh15 0.990 0.546 0.792
Rh16 0.990 0.954 0.292

Calculated values
The value obtained for the density of states at the Fermi level is 0.571 states/eV/atom. The volume is 588.78 Å³ per cell. The value obtained for the relative energy among the computed polymorphs is 0 meV/atom.

***

Density functional theory data (PBE-GGA) for a geometry-optimized Ge2BiRhS structure.

Cell lengths 4.616, 4.616, 5.747 Å; angles 90.00, 90.00, 90.00 degrees
Fractional coordinates of all 5 atoms:
Ge1 0.000 0.500 0.000
Ge2 0.500 0.000 0.000
Bi1 0.000 0.000 0.500
Rh1 0.000 0.000 0.000
S1 0.500 0.500 0.500

Calculated values
The value obtained for the density of states at the Fermi level is 0.627 states/eV/atom. As for the formation energy from raw total energies: 143 meV per atom. The volume is 122.46 Å³ per cell.

***

Density functional theory data (PBE-GGA) for a geometry-optimized Si2GeBiRh structure.

Cell lengths 4.502, 4.502, 5.802 Å; angles 90.00, 90.00, 90.00 degrees
Fractional coordinates of all 5 atoms:
Si1 0.000 0.500 0.000
Si2 0.500 0.000 0.000
Ge1 0.000 0.000 0.500
Bi1 0.500 0.500 0.500
Rh1 0.500 0.500 0.000

Calculated values
The value obtained for the density of states at the Fermi level is 0.550 states/eV/atom. As for the formation energy from raw total energies: 334 meV per atom. The volume is 117.59 Å³ per cell.

***

Density functional theory data (PBE-GGA) for a geometry-optimized Tb2Ge2BiRh5 structure.

Cell lengths 9.912, 9.912, 3.693 Å; angles 90.00, 90.00, 90.00 degrees
Fractional coordinates of all 20 atoms:
Tb1 0.177 0.323 0.000
Tb2 0.323 0.823 0.000
Tb3 0.677 0.177 0.000
Tb4 0.823 0.677 0.000
Ge1 0.120 0.620 0.000
Ge2 0.380 0.120 0.000
Ge3 0.620 0.880 0.000
Ge4 0.880 0.380 0.000
Bi1 0.000 0.000 0.000
Bi2 0.500 0.500 0.000
Rh1 0.000 0.500 0.500
Rh2 0.070 0.783 0.500
Rh3 0.217 0.070 0.500
Rh4 0.283 0.570 0.500
Rh5 0.430 0.283 0.500
Rh6 0.500 0.000 0.500
Rh7 0.570 0.717 0.500
Rh8 0.717 0.430 0.500
Rh9 0.783 0.930 0.500
Rh10 0.930 0.217 0.500

Calculated values
The value obtained for the density of states at the Fermi level is 0.614 states/eV/atom. The volume is 362.85 Å³ per cell. The calculation puts the total energy at -132.8 eV per cell.

***

Density functional theory data (PBE-GGA) for a geometry-optimized Th2GeBi2Rh4 structure.

Cell lengths 6.664, 6.664, 6.664 Å; angles 121.85, 121.85, 86.82 degrees
Fractional coordinates of all 9 atoms:
Th1 0.192 0.192 0.000
Th2 0.808 0.808 0.000
Ge1 0.500 0.500 0.000
Bi1 0.250 0.750 0.500
Bi2 0.750 0.250 0.500
Rh1 0.232 0.232 0.464
Rh2 0.232 0.768 0.000
Rh3 0.768 0.232 0.000
Rh4 0.768 0.768 0.536

Calculated values
The value obtained for the density of states at the Fermi level is 1.120 states/eV/atom. The volume is 203.08 Å³ per cell. The calculation puts the total energy at -59.3 eV per cell.

***

Density functional theory data (PBE-GGA) for a geometry-optimized Y2Ge2BiRh5 structure.

Cell lengths 9.899, 9.899, 3.696 Å; angles 90.00, 90.00, 90.00 degrees
Fractional coordinates of all 20 atoms:
Y1 0.176 0.324 0.000
Y2 0.324 0.824 0.000
Y3 0.676 0.176 0.000
Y4 0.824 0.676 0.000
Ge1 0.120 0.620 0.000
Ge2 0.380 0.120 0.000
Ge3 0.620 0.880 0.000
Ge4 0.880 0.380 0.000
Bi1 0.000 0.000 0.000
Bi2 0.500 0.500 0.000
Rh1 0.000 0.500 0.500
Rh2 0.070 0.783 0.500
Rh3 0.217 0.070 0.500
Rh4 0.283 0.570 0.500
Rh5 0.430 0.283 0.500
Rh6 0.500 0.000 0.500
Rh7 0.570 0.717 0.500
Rh8 0.717 0.430 0.500
Rh9 0.783 0.930 0.500
Rh10 0.930 0.217 0.500

Calculated values
The value obtained for the density of states at the Fermi level is 0.639 states/eV/atom. The volume is 362.12 Å³ per cell. The calculation puts the total energy at -140.1 eV per cell.